A plane-wave DFT calculation with meta-GGA SCAN was carried out for Sm3Zn22 at its PBEsol-relaxed geometry.

Computed properties:
Electronic total energy in eV/atom: -17.562
E_form in eV per atom: -0.34
Crystal system: tetragonal
Total magnetization in μB/f.u.: 0.00

a = 8.678 Å, b = 8.678 Å, c = 20.781 Å
α = 90.00°, β = 90.00°, γ = 90.00°
Space group I4_1/amd (No. 141, origin choice 2)
Unique sites:
Sm  0.000  0.250  0.253 [8 per cell]
Sm  0.000  0.250  0.875 [4 per cell]
Zn  0.000  0.000  0.000 [8 per cell]
Zn  0.000  0.028  0.376 [16 per cell]
Zn  0.000  0.097  0.737 [16 per cell]
Zn  0.000  0.103  0.117 [16 per cell]
Zn  0.231  0.008  0.189 [32 per cell]

A plane-wave DFT calculation with meta-GGA SCAN was carried out for SmZn at its PBEsol-relaxed geometry.

Computed properties:
Electronic total energy in eV/atom: -29.368
E_form in eV per atom: -0.39
Crystal system: cubic
Total magnetization in μB/f.u.: 0.26

a = 3.568 Å, b = 3.568 Å, c = 3.568 Å
α = 90.00°, β = 90.00°, γ = 90.00°
Space group Pm-3m (No. 221)
Unique sites:
Sm  0.000  0.000  0.000 [1 per cell]
Zn  0.500  0.500  0.500 [1 per cell]

A plane-wave DFT calculation with meta-GGA SCAN was carried out for SmZn3 at its PBEsol-relaxed geometry.

Computed properties:
Electronic total energy in eV/atom: -21.675
E_form in eV per atom: -0.43
Crystal system: orthorhombic
Total magnetization in μB/f.u.: 0.00

a = 6.611 Å, b = 4.401 Å, c = 9.982 Å
α = 90.00°, β = 90.00°, γ = 90.00°
Space group Pnma (No. 62)
Unique sites:
Sm  0.222  0.250  0.158 [4 per cell]
Zn  0.036  0.750  0.393 [4 per cell]
Zn  0.084  0.250  0.854 [4 per cell]
Zn  0.223  0.750  0.955 [4 per cell]

A plane-wave DFT calculation with meta-GGA SCAN was carried out for Sm2Zn17 at its PBEsol-relaxed geometry.

Computed properties:
Electronic total energy in eV/atom: -17.087
E_form in eV per atom: -0.32
Crystal system: trigonal
Total magnetization in μB/f.u.: 0.00

a = 8.8449 Å, b = 8.8449 Å, c = 12.9240 Å
α = 90.00°, β = 90.00°, γ = 120.00°
Space group R-3m (No. 166, hexagonal axes)
Unique sites:
Sm  0.0000  0.0000  0.1641 [6 per cell]
Zn  0.0000  0.0000  0.4009 [6 per cell]
Zn  0.0000  0.2946  0.5000 [18 per cell]
Zn  0.0000  0.5000  0.0000 [9 per cell]
Zn  0.0076  0.5038  0.6531 [18 per cell]

A plane-wave DFT calculation with meta-GGA SCAN was carried out for Sn at its PBEsol-relaxed geometry.

Computed properties:
Electronic total energy in eV/atom: -35.825
E_form in eV per atom: 0.10
Relative energy among the computed polymorphs in meV/atom: 96
Crystal system: orthorhombic
Total magnetization in μB/f.u.: 0.00

a = 3.180 Å, b = 5.601 Å, c = 2.991 Å
α = 90.00°, β = 90.00°, γ = 90.00°
Space group Cmmm (No. 65)
Unique sites:
Sn  0.000  0.000  0.000 [2 per cell]

A plane-wave DFT calculation with meta-GGA SCAN was carried out for Sn at its PBEsol-relaxed geometry.

Computed properties:
Electronic total energy in eV/atom: -35.712
E_form in eV per atom: 0.21
Relative energy among the computed polymorphs in meV/atom: 210
Crystal system: cubic
Total magnetization in μB/f.u.: 0.00

a = 3.732 Å, b = 3.732 Å, c = 3.732 Å
α = 90.00°, β = 90.00°, γ = 90.00°
Space group Im-3m (No. 229)
Unique sites:
Sn  0.000  0.000  0.000 [2 per cell]

A plane-wave DFT calculation with meta-GGA SCAN was carried out for Sn at its PBEsol-relaxed geometry.

Computed properties:
Electronic total energy in eV/atom: -35.796
E_form in eV per atom: 0.12
Relative energy among the computed polymorphs in meV/atom: 125
Crystal system: cubic
Total magnetization in μB/f.u.: 0.00

a = 5.986 Å, b = 5.986 Å, c = 5.986 Å
α = 90.00°, β = 90.00°, γ = 90.00°
Space group Pa-3 (No. 205)
Unique sites:
Sn  0.191  0.191  0.191 [8 per cell]

A plane-wave DFT calculation with meta-GGA SCAN was carried out for Sn at its PBEsol-relaxed geometry.

Computed properties:
Electronic total energy in eV/atom: -35.831
E_form in eV per atom: 0.09
Relative energy among the computed polymorphs in meV/atom: 90
Crystal system: tetragonal
Total magnetization in μB/f.u.: 0.00

a = 5.818 Å, b = 5.818 Å, c = 3.146 Å
α = 90.00°, β = 90.00°, γ = 90.00°
Space group I4_1/amd (No. 141, origin choice 2)
Unique sites:
Sn  0.000  0.250  0.375 [4 per cell]